A | Compound: Al2Sn2Au
Source: Alexandria
Functional: GGA-PBE
Structure: optimized geometry

Cell: 6.7617 6.7617 4.8375 Å, 90.00 90.00 90.00°
Atoms (fractional coordinates):
Al (0.1401, 0.3599, 0.0000)
Al (0.3599, 0.8599, 0.0000)
Al (0.6401, 0.1401, 0.0000)
Al (0.8599, 0.6401, 0.0000)
Sn (0.1733, 0.6733, 0.5000)
Sn (0.3267, 0.1733, 0.5000)
Sn (0.6733, 0.8267, 0.5000)
Sn (0.8267, 0.3267, 0.5000)
Au (0.0000, 0.0000, 0.0000)
Au (0.5000, 0.5000, 0.0000)

B | Compound: Al2Sn2Au
Source: Alexandria
Functional: GGA-PBE
Structure: optimized geometry

Cell: 8.7298 8.7298 8.7298 Å, 155.48 155.48 34.95°
Atoms (fractional coordinates):
Al (0.2500, 0.7500, 0.5000)
Al (0.7500, 0.2500, 0.5000)
Sn (0.0994, 0.0994, 0.0000)
Sn (0.9006, 0.9006, 0.0000)
Au (0.5000, 0.5000, 0.0000)

Which of them is least stable? Easy: B.

A | Compound: SrAl2Au6
Source: Alexandria
Functional: GGA-PBE
Structure: optimized geometry

Cell: 8.4860 8.4860 8.4860 Å, 60.00 60.00 60.00°
Atoms (fractional coordinates):
Sr (0.1250, 0.1250, 0.1250)
Sr (0.8750, 0.8750, 0.8750)
Al (0.0000, 0.5000, 0.5000)
Al (0.5000, 0.0000, 0.5000)
Al (0.5000, 0.5000, 0.0000)
Al (0.5000, 0.5000, 0.5000)
Au (0.1384, 0.1384, 0.6116)
Au (0.1384, 0.6116, 0.1384)
Au (0.1384, 0.6116, 0.6116)
Au (0.3884, 0.3884, 0.8616)
Au (0.3884, 0.8616, 0.3884)
Au (0.3884, 0.8616, 0.8616)
Au (0.6116, 0.1384, 0.1384)
Au (0.6116, 0.1384, 0.6116)
Au (0.6116, 0.6116, 0.1384)
Au (0.8616, 0.3884, 0.3884)
Au (0.8616, 0.3884, 0.8616)
Au (0.8616, 0.8616, 0.3884)

B | Compound: SrAl2Au6
Source: Alexandria
Functional: GGA-PBE
Structure: optimized geometry

Cell: 6.7943 6.7943 4.6698 Å, 99.13 99.13 68.09°
Atoms (fractional coordinates):
Sr (0.0000, 0.0000, 0.0000)
Al (0.3113, 0.3113, 0.2766)
Al (0.6887, 0.6887, 0.7234)
Au (0.1171, 0.4865, 0.7796)
Au (0.3038, 0.6962, 0.5000)
Au (0.4865, 0.1171, 0.7796)
Au (0.5135, 0.8829, 0.2204)
Au (0.6962, 0.3038, 0.5000)
Au (0.8829, 0.5135, 0.2204)

Which of them is least stable? Easy: A.

A | Compound: SrAl2Au9
Source: Alexandria
Functional: GGA-PBE
Structure: optimized geometry

Cell: 8.7448 8.7448 3.5727 Å, 90.00 90.00 120.00°
Atoms (fractional coordinates):
Sr (0.0000, 0.0000, 0.0000)
Al (0.3333, 0.6667, 0.0000)
Al (0.6667, 0.3333, 0.0000)
Au (0.0000, 0.5000, 0.0000)
Au (0.1914, 0.3827, 0.5000)
Au (0.1914, 0.8086, 0.5000)
Au (0.3827, 0.1914, 0.5000)
Au (0.5000, 0.0000, 0.0000)
Au (0.5000, 0.5000, 0.0000)
Au (0.6173, 0.8086, 0.5000)
Au (0.8086, 0.1914, 0.5000)
Au (0.8086, 0.6173, 0.5000)

B | Compound: SrAl2Au9
Source: Alexandria
Functional: GGA-PBE
Structure: optimized geometry

Cell: 8.8334 8.8334 8.8334 Å, 99.53 99.53 131.99°
Atoms (fractional coordinates):
Sr (0.3750, 0.6250, 0.7500)
Sr (0.6250, 0.3750, 0.2500)
Al (0.0000, 0.0000, 0.0000)
Al (0.0000, 0.0000, 0.5000)
Al (0.0000, 0.5000, 0.0000)
Al (0.5000, 0.0000, 0.5000)
Au (0.1250, 0.8750, 0.2500)
Au (0.1308, 0.5615, 0.3277)
Au (0.1308, 0.8031, 0.5693)
Au (0.1969, 0.2662, 0.3277)
Au (0.1969, 0.8692, 0.9307)
Au (0.2662, 0.1969, 0.8277)
Au (0.2662, 0.4385, 0.0693)
Au (0.4385, 0.2662, 0.5693)
Au (0.4385, 0.8692, 0.1723)
Au (0.5615, 0.1308, 0.8277)
Au (0.5615, 0.7338, 0.4307)
Au (0.7338, 0.5615, 0.9307)
Au (0.7338, 0.8031, 0.1723)
Au (0.8031, 0.1308, 0.0693)
Au (0.8031, 0.7338, 0.6723)
Au (0.8692, 0.1969, 0.4307)
Au (0.8692, 0.4385, 0.6723)
Au (0.8750, 0.1250, 0.7500)

Which of them is least stable? Easy: A.